A relaxed K2Ba2Os crystal. Source: the Alexandria database, functional PBE-GGA.

Cell and atoms, written as extended XYZ:
```
10
Lattice="8.1713 0.0000 0.0000 0.0000 8.1713 0.0000 0.0000 0.0000 7.4595" Properties=species:S:1:pos:R:3 pbc="T T T"
K 1.5234 2.5623 0.0000
K 2.5623 6.6479 0.0000
K 5.6090 1.5234 0.0000
K 6.6479 5.6090 0.0000
Ba 1.5791 5.6648 3.7297
Ba 2.5065 1.5791 3.7297
Ba 5.6648 6.5921 3.7297
Ba 6.5921 2.5065 3.7297
Os 0.0000 0.0000 3.7297
Os 4.0856 4.0856 3.7297
```

Summary:
Energy above the most stable polymorph in this dataset ... 0.0 kJ/mol of formula units
Uncorrected energy ... -2.736 eV per atom

=====

A relaxed K2BaOs crystal. Source: the Alexandria database, functional PBE-GGA.

Cell and atoms, written as extended XYZ:
```
4
Lattice="5.3910 -1.8062 0.0000 5.3910 1.8062 0.0000 -2.7815 0.0000 9.3648" Properties=species:S:1:pos:R:3 pbc="T T T"
K 0.0000 0.0000 0.0000
K -0.0030 0.0000 5.8084
Ba 8.0827 0.0000 2.9024
Os 5.1707 0.0000 2.9043
```

Summary:
Energy above the most stable polymorph in this dataset ... 25.2 kJ/mol of formula units
Uncorrected energy ... -2.909 eV per atom

=====

A relaxed K2BaOs crystal. Source: the Alexandria database, functional PBE-GGA.

Cell and atoms, written as extended XYZ:
```
4
Lattice="4.4119 0.0000 0.0000 0.0000 6.3758 0.0000 -0.6936 0.0000 5.2761" Properties=species:S:1:pos:R:3 pbc="T T T"
K 0.7408 0.0000 1.5114
K 2.9776 0.0000 3.7647
Ba 2.2059 3.1879 0.0000
Os -0.3468 3.1879 2.6381
```

Summary:
Energy above the most stable polymorph in this dataset ... 106.9 kJ/mol of formula units
Uncorrected energy ... -2.697 eV per atom

=====

A relaxed K2Ba2Os crystal. Source: the Alexandria database, functional PBE-GGA.

Cell and atoms, written as extended XYZ:
```
5
Lattice="-3.3196 3.3196 4.3632 3.3196 -3.3196 4.3632 3.3196 3.3196 -4.3632" Properties=species:S:1:pos:R:3 pbc="T T T"
K 0.0000 0.0000 1.4137
K 0.0000 0.0000 7.3127
Ba 3.3196 0.0000 2.1816
Ba 0.0000 3.3196 2.1816
Os 0.0000 0.0000 4.3632
```

Summary:
Energy above the most stable polymorph in this dataset ... 243.2 kJ/mol of formula units
Uncorrected energy ... -2.232 eV per atom

=====

A relaxed K2BaOs crystal. Source: the Alexandria database, functional PBE-GGA.

Cell and atoms, written as extended XYZ:
```
4
Lattice="3.7881 0.0000 0.0000 0.0000 3.7881 0.0000 0.0000 0.0000 11.8901" Properties=species:S:1:pos:R:3 pbc="T T T"
K 0.0000 0.0000 0.0000
K 1.8941 1.8941 4.1119
Ba 1.8941 1.8941 7.9117
Os 0.0000 0.0000 6.2216
```

Summary:
Energy above the most stable polymorph in this dataset ... 14.9 kJ/mol of formula units
Uncorrected energy ... -2.935 eV per atom

=====

A relaxed KBa3Os crystal. Source: the Alexandria database, functional PBE-GGA.

Cell and atoms, written as extended XYZ:
```
5
Lattice="6.2760 0.0000 0.0000 0.0000 6.2760 0.0000 0.0000 0.0000 6.2760" Properties=species:S:1:pos:R:3 pbc="T T T"
K 0.0000 0.0000 0.0000
Ba 0.0000 3.1380 3.1380
Ba 3.1380 0.0000 3.1380
Ba 3.1380 3.1380 0.0000
Os 3.1380 3.1380 3.1380
```

Summary:
Uncorrected energy ... -3.221 eV per atom

=====

A relaxed K2BaOs crystal. Source: the Alexandria database, functional PBE-GGA.

Cell and atoms, written as extended XYZ:
```
4
Lattice="-2.8119 2.8119 3.9892 2.8119 -2.8119 3.9892 2.8119 2.8119 -3.9892" Properties=species:S:1:pos:R:3 pbc="T T T"
K 0.0000 0.0000 0.0000
K 0.0000 2.8119 1.9946
Ba 0.0000 0.0000 3.9892
Os 2.8119 0.0000 1.9946
```

Summary:
Energy above the most stable polymorph in this dataset ... 85.4 kJ/mol of formula units
Uncorrected energy ... -2.753 eV per atom

=====

A relaxed K2Ba2Os crystal. Source: the Alexandria database, functional PBE-GGA.

Cell and atoms, written as extended XYZ:
```
5
Lattice="-2.1833 2.1833 11.7973 2.1833 -2.1833 11.7973 2.1833 2.1833 -11.7973" Properties=species:S:1:pos:R:3 pbc="T T T"
K 2.1833 0.0000 5.8987
K 0.0000 2.1833 5.8987
Ba 0.0000 0.0000 1.7225
Ba 0.0000 0.0000 21.8722
Os 0.0000 0.0000 11.7973
```

Summary:
Energy above the most stable polymorph in this dataset ... 123.7 kJ/mol of formula units
Uncorrected energy ... -2.480 eV per atom

=====

A relaxed K2BaOs crystal. Source: the Alexandria database, functional PBE-GGA.

Cell and atoms, written as extended XYZ:
```
4
Lattice="3.0940 0.0000 0.0000 0.0000 5.9777 0.0000 0.0000 0.0000 6.7563" Properties=species:S:1:pos:R:3 pbc="T T T"
K 0.0000 0.0000 1.4500
K 0.0000 0.0000 5.3063
Ba 1.5470 2.9889 3.3782
Os 1.5470 2.9889 0.0000
```

Summary:
Energy above the most stable polymorph in this dataset ... 156.7 kJ/mol of formula units
Uncorrected energy ... -2.568 eV per atom

=====

A relaxed K2BaOs crystal. Source: the Alexandria database, functional PBE-GGA.

Cell and atoms, written as extended XYZ:
```
4
Lattice="0.0000 4.0832 4.0832 4.0832 0.0000 4.0832 4.0832 4.0832 0.0000" Properties=species:S:1:pos:R:3 pbc="T T T"
K 2.0416 2.0416 2.0416
K 6.1248 6.1248 6.1248
Ba 0.0000 0.0000 0.0000
Os 4.0832 4.0832 4.0832
```

Summary:
Energy above the most stable polymorph in this dataset ... 166.4 kJ/mol of formula units
Uncorrected energy ... -2.543 eV per atom

=====

A relaxed K2BaOs crystal. Source: the Alexandria database, functional PBE-GGA.

Cell and atoms, written as extended XYZ:
```
4
Lattice="-2.4599 3.1613 4.8499 2.4599 -3.1613 4.8499 2.4599 3.1613 -4.8499" Properties=species:S:1:pos:R:3 pbc="T T T"
K 0.0000 0.0000 0.0000
K 0.0000 3.1613 1.9244
Ba 0.0000 0.0000 3.9999
Os 2.4599 0.0000 2.6123
```

Summary:
Energy above the most stable polymorph in this dataset ... 69.9 kJ/mol of formula units
Uncorrected energy ... -2.793 eV per atom

=====

A relaxed K2BaOs crystal. Source: the Alexandria database, functional PBE-GGA.

Cell and atoms, written as extended XYZ:
```
4
Lattice="-2.4014 2.4014 5.9933 2.4014 -2.4014 5.9933 2.4014 2.4014 -5.9933" Properties=species:S:1:pos:R:3 pbc="T T T"
K 2.4014 0.0000 2.9966
K 0.0000 2.4014 2.9966
Ba 0.0000 0.0000 0.0000
Os 0.0000 0.0000 5.9933
```

Summary:
Energy above the most stable polymorph in this dataset ... 96.9 kJ/mol of formula units
Uncorrected energy ... -2.723 eV per atom

=====

A relaxed K2BaOs crystal. Source: the Alexandria database, functional PBE-GGA.

Cell and atoms, written as extended XYZ:
```
8
Lattice="-2.3944 2.3944 13.1797 2.3944 -2.3944 13.1797 2.3944 2.3944 -13.1797" Properties=species:S:1:pos:R:3 pbc="T T T"
K 3.5915 1.0531 -3.2949
K 1.0531 1.1972 3.2949
K -1.1972 1.3412 9.8848
K 1.3412 1.1972 16.4747
Ba 2.3944 0.0000 6.5899
Ba 0.0000 0.0000 13.1797
Os 0.0000 0.0000 0.0000
Os 0.0000 2.3944 6.5899
```

Summary:
Energy above the most stable polymorph in this dataset ... 118.6 kJ/mol of formula units
Uncorrected energy ... -2.667 eV per atom

=====

A relaxed K2BaOs crystal. Source: the Alexandria database, functional PBE-GGA.

Cell and atoms, written as extended XYZ:
```
4
Lattice="4.8484 0.0000 0.0000 0.0000 4.8484 0.0000 0.0000 0.0000 6.1876" Properties=species:S:1:pos:R:3 pbc="T T T"
K 0.0000 2.4242 0.0000
K 2.4242 0.0000 0.0000
Ba 0.0000 0.0000 3.0938
Os 2.4242 2.4242 3.0938
```

Summary:
Energy above the most stable polymorph in this dataset ... 93.4 kJ/mol of formula units
Uncorrected energy ... -2.732 eV per atom

=====

A relaxed K2Ba2Os crystal. Source: the Alexandria database, functional PBE-GGA.

Cell and atoms, written as extended XYZ:
```
10
Lattice="8.3591 0.0000 0.0000 0.0000 8.3591 0.0000 0.0000 0.0000 6.0277" Properties=species:S:1:pos:R:3 pbc="T T T"
K 1.1832 2.9963 0.0000
K 2.9963 7.1758 0.0000
K 5.3628 1.1832 0.0000
K 7.1758 5.3628 0.0000
Ba 1.6556 5.8351 3.0139
Ba 2.5240 1.6556 3.0139
Ba 5.8351 6.7035 3.0139
Ba 6.7035 2.5240 3.0139
Os 0.0000 0.0000 0.0000
Os 4.1795 4.1795 0.0000
```

Summary:
Energy above the most stable polymorph in this dataset ... 184.2 kJ/mol of formula units
Uncorrected energy ... -2.354 eV per atom

=====

A relaxed K2BaReOs crystal. Source: the Alexandria database, functional PBE-GGA.

Cell and atoms, written as extended XYZ:
```
5
Lattice="6.6830 0.0000 0.0000 0.0000 6.6830 0.0000 0.0000 0.0000 5.0039" Properties=species:S:1:pos:R:3 pbc="T T T"
K 0.0000 3.3415 0.0000
K 3.3415 0.0000 0.0000
Ba 0.0000 0.0000 0.0000
Re 3.3415 3.3415 2.5019
Os 0.0000 0.0000 2.5019
```

Summary:
Uncorrected energy ... -3.065 eV per atom

=====

A relaxed KBaOsRh2 crystal. Source: the Alexandria database, functional PBE-GGA.

Cell and atoms, written as extended XYZ:
```
5
Lattice="4.8228 0.0000 0.0000 0.0000 4.8228 0.0000 0.0000 0.0000 5.4958" Properties=species:S:1:pos:R:3 pbc="T T T"
K 0.0000 0.0000 0.0000
Ba 0.0000 0.0000 2.7479
Os 2.4114 2.4114 2.7479
Rh 0.0000 2.4114 0.0000
Rh 2.4114 0.0000 0.0000
```

Summary:
Uncorrected energy ... -3.515 eV per atom

=====

A relaxed KBaTcOs2 crystal. Source: the Alexandria database, functional PBE-GGA.

Cell and atoms, written as extended XYZ:
```
5
Lattice="5.0447 0.0000 0.0000 0.0000 5.0447 0.0000 0.0000 0.0000 5.0153" Properties=species:S:1:pos:R:3 pbc="T T T"
K 0.0000 0.0000 0.0000
Ba 2.5223 2.5223 2.5077
Tc 0.0000 0.0000 2.5077
Os 0.0000 2.5223 0.0000
Os 2.5223 0.0000 0.0000
```

Summary:
Uncorrected energy ... -4.121 eV per atom

=====

A relaxed KBaTiOs2 crystal. Source: the Alexandria database, functional PBE-GGA.

Cell and atoms, written as extended XYZ:
```
5
Lattice="5.1007 0.0000 0.0000 0.0000 5.1007 0.0000 0.0000 0.0000 4.7928" Properties=species:S:1:pos:R:3 pbc="T T T"
K 0.0000 0.0000 0.0000
Ba 2.5504 2.5504 2.3964
Ti 0.0000 0.0000 2.3964
Os 0.0000 2.5504 0.0000
Os 2.5504 0.0000 0.0000
```

Summary:
Uncorrected energy ... -4.061 eV per atom

=====

A relaxed KBa2P2 crystal. Source: the Alexandria database, functional PBE-GGA.

Cell and atoms, written as extended XYZ:
```
10
Lattice="9.2872 0.0000 0.0000 0.0000 9.2872 0.0000 0.0000 0.0000 3.7624" Properties=species:S:1:pos:R:3 pbc="T T T"
K 0.0000 0.0000 0.0000
K 4.6436 4.6436 0.0000
Ba 1.2276 3.4160 0.0000
Ba 3.4160 8.0596 0.0000
Ba 5.8713 1.2276 0.0000
Ba 8.0596 5.8713 0.0000
P 1.5474 6.1911 1.8812
P 3.0962 1.5474 1.8812
P 6.1911 7.7398 1.8812
P 7.7398 3.0962 1.8812
```

Summary:
Energy above the most stable polymorph in this dataset ... 23.6 kJ/mol of formula units
Uncorrected energy ... -3.765 eV per atom

=====

A relaxed KBa2P2 crystal. Source: the Alexandria database, functional PBE-GGA.

Cell and atoms, written as extended XYZ:
```
5
Lattice="-2.7491 2.7491 5.9710 2.7491 -2.7491 5.9710 2.7491 2.7491 -5.9710" Properties=species:S:1:pos:R:3 pbc="T T T"
K 0.0000 0.0000 0.0000
Ba 2.7491 0.0000 2.9855
Ba 0.0000 2.7491 2.9855
P 0.0000 0.0000 4.7882
P 0.0000 0.0000 7.1539
```

Summary:
Energy above the most stable polymorph in this dataset ... 115.0 kJ/mol of formula units
Uncorrected energy ... -3.576 eV per atom

=====

A relaxed KBa2P crystal. Source: the Alexandria database, functional PBE-GGA.

Cell and atoms, written as extended XYZ:
```
4
Lattice="5.4970 0.0000 0.0000 0.0000 5.4970 0.0000 0.0000 0.0000 4.8797" Properties=species:S:1:pos:R:3 pbc="T T T"
K 0.0000 0.0000 0.0000
Ba 0.0000 2.7485 2.4399
Ba 2.7485 0.0000 2.4399
P 2.7485 2.7485 0.0000
```

Summary:
Uncorrected energy ... -2.808 eV per atom

=====

A relaxed KBa3P crystal. Source: the Alexandria database, functional PBE-GGA.

Cell and atoms, written as extended XYZ:
```
5
Lattice="6.3448 0.0000 0.0000 0.0000 6.3448 0.0000 0.0000 0.0000 6.3448" Properties=species:S:1:pos:R:3 pbc="T T T"
K 0.0000 0.0000 0.0000
Ba 0.0000 0.0000 3.1724
Ba 0.0000 3.1724 0.0000
Ba 3.1724 0.0000 0.0000
P 3.1724 3.1724 3.1724
```

Summary:
Energy above the most stable polymorph in this dataset ... 637.9 kJ/mol of formula units
Uncorrected energy ... -1.563 eV per atom

=====

A relaxed KBa2P crystal. Source: the Alexandria database, functional PBE-GGA.

Cell and atoms, written as extended XYZ:
```
4
Lattice="4.6639 0.0000 0.0000 -2.3319 4.0390 0.0000 0.0000 0.0000 11.8679" Properties=species:S:1:pos:R:3 pbc="T T T"
K 0.0000 0.0000 0.0000
Ba 0.0000 2.6927 7.6474
Ba 2.3319 1.3463 4.2205
P 0.0000 0.0000 5.9340
```

Summary:
Uncorrected energy ... -3.208 eV per atom

=====

A relaxed KBa8P4 crystal. Source: the Alexandria database, functional PBE-GGA.

Cell and atoms, written as extended XYZ:
```
13
Lattice="11.6592 -2.3595 0.0000 11.6592 2.3595 0.0000 -11.0186 0.0000 11.7539" Properties=species:S:1:pos:R:3 pbc="T T T"
K 0.0000 0.0000 0.0000
Ba -6.9790 0.0000 8.4404
Ba -3.5050 0.0000 11.0545
Ba 0.7183 0.0000 7.6283
Ba 3.9029 0.0000 4.6507
Ba 8.3713 0.0000 7.0724
Ba 11.5633 0.0000 4.1095
Ba 15.7955 0.0000 0.6725
Ba 19.2649 0.0000 3.2873
P -1.7169 0.0000 5.5575
P 5.8407 0.0000 2.0392
P 6.4482 0.0000 9.6890
P 13.9983 0.0000 6.1776
```

Summary:
Uncorrected energy ... -3.681 eV per atom

=====

A relaxed KBa2P crystal. Source: the Alexandria database, functional PBE-GGA.

Cell and atoms, written as extended XYZ:
```
4
Lattice="2.4381 1.4077 10.6424 -2.4381 1.4077 10.6424 0.0000 -2.8153 10.6424" Properties=species:S:1:pos:R:3 pbc="T T T"
K 0.0000 0.0000 0.0000
Ba 0.0000 0.0000 18.3348
Ba 0.0000 0.0000 25.1804
P 0.0000 0.0000 8.9795
```

Summary:
Uncorrected energy ... -2.855 eV per atom

=====

A relaxed K2BaP crystal. Source: the Alexandria database, functional PBE-GGA.

Cell and atoms, written as extended XYZ:
```
4
Lattice="2.4707 1.4264 10.5682 -2.4707 1.4264 10.5682 0.0000 -2.8529 10.5682" Properties=species:S:1:pos:R:3 pbc="T T T"
K 0.0000 0.0000 0.0000
K 0.0000 0.0000 6.7498
Ba 0.0000 0.0000 25.0263
P 0.0000 0.0000 15.6836
```

Summary:
Uncorrected energy ... -2.749 eV per atom

=====

A relaxed KBa2P crystal. Source: the Alexandria database, functional PBE-GGA.

Cell and atoms, written as extended XYZ:
```
8
Lattice="-4.9653 4.9653 4.2412 4.9653 -4.9653 4.2412 4.9653 4.9653 -4.2412" Properties=species:S:1:pos:R:3 pbc="T T T"
K 0.0000 0.0000 0.0000
K 0.0000 4.9653 2.1206
Ba 2.4826 3.4689 -1.0603
Ba 6.4616 2.4826 1.0603
Ba 2.4826 1.4964 3.1809
Ba -1.4964 2.4826 5.3015
P 4.9653 0.0000 2.1206
P 0.0000 0.0000 4.2412
```

Summary:
Uncorrected energy ... -2.945 eV per atom

=====

Calculated calculated formation energy in order - 3.590; 3.712; 4.560; 6.110; 3.606; 1.992; 4.337; 4.872; 5.075; 5.176; 4.176; 4.455; 4.680; 4.419; 5.499; 12.470; 11.377; 15.239; 13.071; -3.062; -2.115; -0.880; 4.459; -2.479; -9.737; -1.067; -1.469; -1.428 eV per formula unit